[1]
Density functional theory data (PBE-GGA) for a relaxed structure of CsBa3Al.

Cell: 6.8848 6.8848 6.8848 Å, 90.00 90.00 90.00°
Space group Pm-3m (No. 221)
Asymmetric unit:
Cs 0.0000 0.0000 0.0000 [1 per cell]
Ba 0.0000 0.5000 0.5000 [3 per cell]
Al 0.5000 0.5000 0.5000 [1 per cell]

Calculated values
Density of states at the Fermi level in states/eV per atom: 1.506
Energy above the most stable polymorph in this dataset in meV per atom: 0
DFT total energy in eV for the cell shown: -9.8
Energy relative to the elements in meV/atom: 104
Crystal system: cubic

[2]
Density functional theory data (PBE-GGA) for a relaxed structure of BaTaRe2Te.

Cell: 4.8661 4.8661 6.4242 Å, 90.00 90.00 90.00°
Space group P4/mmm (No. 123)
Asymmetric unit:
Ba 0.0000 0.0000 0.0000 [1 per cell]
Ta 0.0000 0.0000 0.5000 [1 per cell]
Re 0.0000 0.5000 0.5000 [2 per cell]
Te 0.5000 0.5000 0.0000 [1 per cell]

Calculated values
Density of states at the Fermi level in states/eV per atom: 0.869
Formation energy from raw total energies in eV/atom: 1.558
DFT total energy in eV for the cell shown: -34.0
Crystal system: tetragonal

[3]
Density functional theory data (PBE-GGA) for a relaxed structure of SrBiSb.

Cell: 4.9569 17.9297 4.4624 Å, 90.00 90.00 90.00°
Space group Cmcm (No. 63)
Asymmetric unit:
Sr 0.0000 0.1001 0.2500 [4 per cell]
Bi 0.0000 0.2586 0.7500 [4 per cell]
Sb 0.0000 0.4425 0.2500 [4 per cell]

Calculated values
Density of states at the Fermi level in states/eV per atom: 0.437
Energy above the most stable polymorph in this dataset in meV per atom: 0
Formation energy from raw total energies in eV/atom: -0.635
DFT total energy in eV for the cell shown: -46.4
Crystal system: orthorhombic